No. 1
TaPPt3 after structural relaxation, computed with GGA-PBE. Values from VASP.

Summary:
energy of formation from the pure elements: 609 kJ/mol of formula units
excess energy over the best structure of this formula in the dataset: 89.6 kJ per mole of atoms

The structure in Quantum ESPRESSO input format:
```
&SYSTEM
  ibrav = 0, nat = 5, ntyp = 3
/
ATOMIC_SPECIES
Ta 180.95 Ta.upf
P 30.97 P.upf
Pt 195.08 Pt.upf
ATOMIC_POSITIONS crystal
Ta 0.000 0.000 0.000
P 0.500 0.500 0.500
Pt 0.000 0.000 0.500
Pt 0.000 0.500 0.000
Pt 0.500 0.000 0.000
CELL_PARAMETERS angstrom
4.866 0.000 0.000
0.000 4.866 0.000
0.000 0.000 4.866
```

***

No. 2
TaP3Pt after structural relaxation, computed with GGA-PBE. Values from VASP.

Summary:
energy of formation from the pure elements: 372 kJ/mol of formula units
excess energy over the best structure of this formula in the dataset: 0.0 kJ per mole of atoms

The structure in Quantum ESPRESSO input format:
```
&SYSTEM
  ibrav = 0, nat = 5, ntyp = 3
/
ATOMIC_SPECIES
Ta 180.95 Ta.upf
P 30.97 P.upf
Pt 195.08 Pt.upf
ATOMIC_POSITIONS crystal
Ta 0.000 0.000 0.000
P 0.000 0.000 0.500
P 0.000 0.500 0.000
P 0.500 0.000 0.000
Pt 0.500 0.500 0.500
CELL_PARAMETERS angstrom
4.744 0.000 0.000
0.000 4.744 0.000
0.000 0.000 4.744
```

***

N(E_F): 1.11; 0.78 (states/eV per atom)